(1)
VASP calculation (GGA-PBE) on a relaxed SrMgZn2 crystal.

Summary:
mass density: 3.92 g/cm3
E_form: -164 meV per atom
DFT total energy: -1.620 eV/atom

abc: 4.654 4.654 10.960
angles: 90.00 90.00 120.00
Atoms (fractional coordinates):
Mg 0.000 0.000 0.000
Zn 0.667 0.333 0.451
Mg 0.000 0.000 0.500
Zn 0.667 0.333 0.049
Zn 0.333 0.667 0.549
Sr 0.333 0.667 0.250
Sr 0.667 0.333 0.750
Zn 0.333 0.667 0.951



(2)
VASP calculation (GGA-PBE) on a relaxed SrMg2Zn crystal.

Summary:
mass density: 3.16 g/cm3
E_form: -45 meV per atom
DFT total energy: -1.581 eV/atom

abc: 3.518 3.810 7.895
angles: 90.00 90.00 90.00
Atoms (fractional coordinates):
Sr 0.000 0.000 0.527
Zn 0.500 0.500 0.799
Mg 0.500 0.500 0.201
Mg 0.000 0.000 0.973



(3)
VASP calculation (GGA-PBE) on a relaxed SrMg11Zn crystal.

Summary:
mass density: 2.22 g/cm3
E_form: -54 meV per atom
DFT total energy: -1.630 eV/atom

abc: 5.902 7.823 7.861
angles: 82.27 67.95 69.00
Atoms (fractional coordinates):
Mg 0.710 0.775 0.786
Mg 0.290 0.225 0.214
Mg 0.504 0.225 0.786
Sr 0.000 0.000 0.000
Mg 0.004 0.641 0.349
Mg 0.000 0.000 0.500
Mg 0.996 0.359 0.651
Mg 0.646 0.359 0.349
Mg 0.000 0.500 0.000
Zn 0.500 0.500 0.000
Mg 0.354 0.641 0.651
Mg 0.500 0.000 0.500
Mg 0.496 0.775 0.214



Repeat the third record exactly.
VASP calculation (GGA-PBE) on a relaxed SrMg11Zn crystal.

Summary:
mass density: 2.22 g/cm3
E_form: -54 meV per atom
DFT total energy: -1.630 eV/atom

abc: 5.902 7.823 7.861
angles: 82.27 67.95 69.00
Atoms (fractional coordinates):
Mg 0.710 0.775 0.786
Mg 0.290 0.225 0.214
Mg 0.504 0.225 0.786
Sr 0.000 0.000 0.000
Mg 0.004 0.641 0.349
Mg 0.000 0.000 0.500
Mg 0.996 0.359 0.651
Mg 0.646 0.359 0.349
Mg 0.000 0.500 0.000
Zn 0.500 0.500 0.000
Mg 0.354 0.641 0.651
Mg 0.500 0.000 0.500
Mg 0.496 0.775 0.214



What is the formula in the third record? SrMg11Zn



The lowest E_form belongs to which entry? SrMgZn2